1.
# LaPmGeIr | the Alexandria database | PBE | relaxed
# Mass density ... 9.41 g/cm3
# Formation energy ... -0.5687 eV per atom
data_LaPmGeIr
_cell_length_a 7.290
_cell_length_b 7.290
_cell_length_c 7.290
_cell_angle_alpha 90.00
_cell_angle_beta 90.00
_cell_angle_gamma 90.00
_space_group_name_H-M_alt 'F -4 3 m'
_space_group_IT_number 216
_space_group_name_Hall 'F -4 2 3'
loop_
_atom_site_label
_atom_site_type_symbol
_atom_site_fract_x
_atom_site_fract_y
_atom_site_fract_z
La1 La 0.000 0.000 0.000
Pm1 Pm 0.000 0.000 0.500
Ge1 Ge 0.250 0.250 0.250
Ir1 Ir 0.250 0.250 0.750



2.
# LaBe3Pt | the Alexandria database | PBE | relaxed
# Mass density ... 7.09 g/cm3
# Formation energy ... -0.2056 eV per atom
data_LaBe3Pt
_cell_length_a 4.239
_cell_length_b 18.744
_cell_length_c 4.258
_cell_angle_alpha 90.00
_cell_angle_beta 90.00
_cell_angle_gamma 90.00
_space_group_name_H-M_alt 'C m c m'
_space_group_IT_number 63
_space_group_name_Hall '-C 2c 2'
loop_
_atom_site_label
_atom_site_type_symbol
_atom_site_fract_x
_atom_site_fract_y
_atom_site_fract_z
La1 La 0.000 0.113 0.250
Be1 Be 0.000 0.500 0.000
Be2 Be 0.244 0.274 0.250
Pt1 Pt 0.000 0.392 0.250



3.
# CuCl2 | the Alexandria database | PBE | relaxed
# Formation energy from raw total energies ... 0.62 eV/atom
# Mass density ... 3.67 g/cm3
data_CuCl2
_cell_length_a 4.6646
_cell_length_b 4.6646
_cell_length_c 3.2325
_cell_angle_alpha 90.00
_cell_angle_beta 90.00
_cell_angle_gamma 120.00
_space_group_name_H-M_alt 'P 6/m m m'
_space_group_IT_number 191
_space_group_name_Hall '-P 6 2'
loop_
_atom_site_label
_atom_site_type_symbol
_atom_site_fract_x
_atom_site_fract_y
_atom_site_fract_z
Cu1 Cu 0.0000 0.0000 0.0000
Cl1 Cl 0.3333 0.6667 0.5000



4.
# Ca2PtO | the Alexandria database | PBE | relaxed
# Formation energy from raw total energies ... -1.64 eV/atom
# Mass density ... 5.61 g/cm3
data_Ca2PtO
_cell_length_a 6.603
_cell_length_b 6.603
_cell_length_c 7.909
_cell_angle_alpha 90.00
_cell_angle_beta 90.00
_cell_angle_gamma 90.00
_space_group_name_H-M_alt 'I -4 2 d'
_space_group_IT_number 122
_space_group_name_Hall 'I -4 2bw'
loop_
_atom_site_label
_atom_site_type_symbol
_atom_site_fract_x
_atom_site_fract_y
_atom_site_fract_z
Ca1 Ca 0.173 0.250 0.125
Pt1 Pt 0.000 0.000 0.500
O1 O 0.000 0.000 0.000



5.
# TlAg2Sb | the Alexandria database | PBE | relaxed
# Formation energy from raw total energies ... 0.16 eV/atom
# Mass density ... 9.78 g/cm3
data_TlAg2Sb
_cell_length_a 4.397
_cell_length_b 4.397
_cell_length_c 9.515
_cell_angle_alpha 90.00
_cell_angle_beta 90.00
_cell_angle_gamma 90.00
_space_group_name_H-M_alt 'I -4 m 2'
_space_group_IT_number 119
_space_group_name_Hall 'I -4 -2'
loop_
_atom_site_label
_atom_site_type_symbol
_atom_site_fract_x
_atom_site_fract_y
_atom_site_fract_z
Tl1 Tl 0.000 0.000 0.000
Ag1 Ag 0.000 0.000 0.500
Ag2 Ag 0.000 0.500 0.750
Sb1 Sb 0.000 0.500 0.250



6.
# TlPbAu | the Alexandria database | PBE | relaxed
# Mass density ... 12.72 g/cm3
# Formation energy ... -0.0393 eV per atom
data_TlPbAu
_cell_length_a 5.671
_cell_length_b 5.955
_cell_length_c 6.043
_cell_angle_alpha 77.26
_cell_angle_beta 62.13
_cell_angle_gamma 61.71
_space_group_name_H-M_alt 'P 1'
_space_group_IT_number 1
_space_group_name_Hall 'P 1'
loop_
_atom_site_label
_atom_site_type_symbol
_atom_site_fract_x
_atom_site_fract_y
_atom_site_fract_z
Tl1 Tl 0.000 0.000 0.000
Tl2 Tl 0.185 0.312 0.310
Pb1 Pb 0.498 0.687 0.315
Pb2 Pb 0.690 0.997 0.614
Au1 Au 0.092 0.505 0.807
Au2 Au 0.593 0.497 0.813